(1)
Compound: FeAs
Source: the Alexandria database
Functional: PBE
Structure: optimized geometry

Computed properties:
D(E_F)	2.73	states/eV per cell
calculated density	6.68	Mg/m³
energy of formation	0.29	eV/f.u.

Cell: 2.8472 2.8472 9.2593 Å, 90.00 90.00 120.00°
Element x y z (fractional)
Fe (0.3333, 0.6667, 0.0990)
Fe (0.6667, 0.3333, 0.9010)
As (0.3333, 0.6667, 0.6980)
As (0.6667, 0.3333, 0.3020)

---

(2)
Compound: LaHo2TmIn4
Source: the Alexandria database
Functional: PBE
Structure: optimized geometry

Computed properties:
D(E_F)	4.35	states/eV per cell
calculated density	8.32	Mg/m³
energy of formation	-3.62	eV/f.u.

Cell: 9.3369 9.3369 9.3369 Å, 33.35 33.35 33.35°
Element x y z (fractional)
La (0.0000, 0.0000, 0.0000)
Ho (0.2492, 0.2492, 0.2492)
Ho (0.7508, 0.7508, 0.7508)
Tm (0.5000, 0.5000, 0.5000)
In (0.1276, 0.1276, 0.1276)
In (0.3780, 0.3780, 0.3780)
In (0.6220, 0.6220, 0.6220)
In (0.8724, 0.8724, 0.8724)

---

(3)
Compound: MnAl2HAu
Source: the Alexandria database
Functional: PBE
Structure: optimized geometry

Computed properties:
D(E_F)	1.52	states/eV per cell
calculated density	8.39	Mg/m³
final energy	-4.783	eV per atom

Cell: 4.1445 4.1445 3.5344 Å, 90.00 90.00 90.00°
Element x y z (fractional)
Mn (0.0000, 0.0000, 0.0000)
Al (0.0000, 0.5000, 0.5000)
Al (0.5000, 0.0000, 0.5000)
H (0.0000, 0.0000, 0.5000)
Au (0.5000, 0.5000, 0.0000)

---

Question: Which value of calculated density does entry 2 give?
Answer: 8.32 Mg/m³